Here is an optimized crystal structure of Li2ScSi from the Alexandria database. Energies are from GGA-PBE.

## Properties
The calculation puts the total energy at -16.32 eV per formula unit. The uncorrected formation energy comes out at -0.1854 eV/atom.

Unit cell a=5.172 b=5.172 c=5.172 alpha=134.75 beta=134.75 gamma=65.92
Element x y z (fractional)
Li (0.250, 0.750, 0.500)
Li (0.750, 0.250, 0.500)
Sc (0.000, 0.000, 0.000)
Si (0.500, 0.500, 0.000)

---

Here is an optimized crystal structure of PmP3Ir3 from the Alexandria database. Energies are from GGA-PBE.

## Properties
The calculation puts the total energy at -51.62 eV per formula unit. The value obtained for the energy of formation is -579 meV per atom.

Unit cell a=6.461 b=6.461 c=6.461 alpha=90.00 beta=90.00 gamma=90.00
Element x y z (fractional)
Pm (0.000, 0.000, 0.000)
Pm (0.500, 0.500, 0.500)
P (0.000, 0.250, 0.500)
P (0.000, 0.750, 0.500)
P (0.250, 0.500, 0.000)
P (0.500, 0.000, 0.250)
P (0.500, 0.000, 0.750)
P (0.750, 0.500, 0.000)
Ir (0.000, 0.500, 0.250)
Ir (0.000, 0.500, 0.750)
Ir (0.250, 0.000, 0.500)
Ir (0.500, 0.250, 0.000)
Ir (0.500, 0.750, 0.000)
Ir (0.750, 0.000, 0.500)